# 1
# BaY2Se PBE-GGA relaxed
# total magnetization: 1.49 μB/cell
# formation energy (no corrections): -2.6 eV per formula unit
# electronic total energy: -5.240 eV/atom
data_BaY2Se
_chemical_formula_sum 'Ba2 Y4 Se2'
_space_group_name_H-M_alt 'C m m m'
_space_group_IT_number 65
_space_group_name_Hall '-C 2 2'
_cell_length_a 6.5758
_cell_length_b 11.3904
_cell_length_c 3.8574
_cell_angle_alpha 90.00
_cell_angle_beta 90.00
_cell_angle_gamma 90.00
loop_
_atom_site_label
_atom_site_fract_x
_atom_site_fract_y
_atom_site_fract_z
_atom_site_occupancy
Ba1 0.0000 0.0000 0.0000 1
Y1 0.0000 0.3197 0.5000 1
Se1 0.0000 0.5000 0.0000 1

***

# 2
# Ba2Y2Se PBE-GGA relaxed
# total magnetization: 0.00 μB/cell
# formation energy (no corrections): -1.8 eV per formula unit
# electronic total energy: -4.412 eV/atom
data_Ba2Y2Se
_chemical_formula_sum 'Ba4 Y4 Se2'
_space_group_name_H-M_alt 'I 4/m m m'
_space_group_IT_number 139
_space_group_name_Hall '-I 4 2'
_cell_length_a 4.3317
_cell_length_b 4.3317
_cell_length_c 21.6959
_cell_angle_alpha 90.00
_cell_angle_beta 90.00
_cell_angle_gamma 90.00
loop_
_atom_site_label
_atom_site_fract_x
_atom_site_fract_y
_atom_site_fract_z
_atom_site_occupancy
Ba1 0.0000 0.0000 0.0856 1
Y1 0.0000 0.5000 0.2500 1
Se1 0.0000 0.0000 0.5000 1

***

# 3
# Ba3YSe PBE-GGA relaxed
# total magnetization: 1.01 μB/cell
# formation energy (no corrections): -2.3 eV per formula unit
# energy above the lowest structure with this stoichiometry: 0 meV per atom
# electronic total energy: -3.595 eV/atom
data_Ba3YSe
_chemical_formula_sum 'Ba3 Y1 Se1'
_space_group_name_H-M_alt 'P m -3 m'
_space_group_IT_number 221
_space_group_name_Hall '-P 4 2 3'
_cell_length_a 6.3431
_cell_length_b 6.3431
_cell_length_c 6.3431
_cell_angle_alpha 90.00
_cell_angle_beta 90.00
_cell_angle_gamma 90.00
loop_
_atom_site_label
_atom_site_fract_x
_atom_site_fract_y
_atom_site_fract_z
_atom_site_occupancy
Ba1 0.0000 0.0000 0.5000 1
Y1 0.5000 0.5000 0.5000 1
Se1 0.0000 0.0000 0.0000 1

***

# 4
# BaY2Se PBE-GGA relaxed
# total magnetization: 0.76 μB/cell
# formation energy (no corrections): -2.2 eV per formula unit
# electronic total energy: -5.123 eV/atom
data_BaY2Se
_chemical_formula_sum 'Ba1 Y2 Se1'
_space_group_name_H-M_alt 'P 4/m m m'
_space_group_IT_number 123
_space_group_name_Hall '-P 4 2'
_cell_length_a 3.6618
_cell_length_b 3.6618
_cell_length_c 9.8432
_cell_angle_alpha 90.00
_cell_angle_beta 90.00
_cell_angle_gamma 90.00
loop_
_atom_site_label
_atom_site_fract_x
_atom_site_fract_y
_atom_site_fract_z
_atom_site_occupancy
Ba1 0.0000 0.0000 0.0000 1
Y1 0.5000 0.5000 0.3284 1
Se1 0.0000 0.0000 0.5000 1

***

# 5
# BaYSe PBE-GGA relaxed
# total magnetization: 0.76 μB/cell
# formation energy (no corrections): -3.1 eV per formula unit
# energy above the lowest structure with this stoichiometry: 0 meV per atom
# electronic total energy: -5.002 eV/atom
data_BaYSe
_chemical_formula_sum 'Ba1 Y1 Se1'
_space_group_name_H-M_alt 'P 3 m 1'
_space_group_IT_number 156
_cell_length_a 4.1453
_cell_length_b 4.1453
_cell_length_c 7.3185
_cell_angle_alpha 90.00
_cell_angle_beta 90.00
_cell_angle_gamma 120.00
loop_
_space_group_symop_operation_xyz
'x,y,z'
'-y,x-y,z'
'-x+y,-x,z'
'-y,-x,z'
'-x+y,y,z'
'x,x-y,z'
loop_
_atom_site_label
_atom_site_fract_x
_atom_site_fract_y
_atom_site_fract_z
_atom_site_occupancy
Ba1 0.0000 0.0000 0.0000 1
Y1 0.3333 0.6667 0.5196 1
Se1 0.6667 0.3333 0.3019 1

***

# 6
# Ba2YSe PBE-GGA relaxed
# total magnetization: 0.00 μB/cell
# formation energy (no corrections): -1.7 eV per formula unit
# electronic total energy: -3.869 eV/atom
data_Ba2YSe
_chemical_formula_sum 'Ba4 Y2 Se2'
_space_group_name_H-M_alt 'C m m m'
_space_group_IT_number 65
_space_group_name_Hall '-C 2 2'
_cell_length_a 6.9847
_cell_length_b 10.0268
_cell_length_c 4.0437
_cell_angle_alpha 90.00
_cell_angle_beta 90.00
_cell_angle_gamma 90.00
loop_
_atom_site_label
_atom_site_fract_x
_atom_site_fract_y
_atom_site_fract_z
_atom_site_occupancy
Ba1 0.2500 0.2500 0.0000 1
Y1 0.0000 0.0000 0.5000 1
Se1 0.0000 0.5000 0.5000 1

***

# 7
# BaY2Se PBE-GGA relaxed
# total magnetization: 0.00 μB/cell
# formation energy (no corrections): -1.3 eV per formula unit
# electronic total energy: -4.907 eV/atom
data_BaY2Se
_chemical_formula_sum 'Ba1 Y2 Se1'
_space_group_name_H-M_alt 'P m m m'
_space_group_IT_number 47
_cell_length_a 3.8578
_cell_length_b 5.6566
_cell_length_c 5.7402
_cell_angle_alpha 90.00
_cell_angle_beta 90.00
_cell_angle_gamma 90.00
loop_
_space_group_symop_operation_xyz
'x,y,z'
'-x,-y,-z'
'-x,-y,z'
'x,y,-z'
'x,-y,-z'
'-x,y,z'
'-x,y,-z'
'x,-y,z'
loop_
_atom_site_label
_atom_site_fract_x
_atom_site_fract_y
_atom_site_fract_z
_atom_site_occupancy
Ba1 0.0000 0.0000 0.0000 1
Y1 0.0000 0.5000 0.5000 1
Y2 0.5000 0.5000 0.0000 1
Se1 0.5000 0.0000 0.5000 1

***

# 8
# BaY2Se4 PBE-GGA relaxed
# total magnetization: 0.00 μB/cell
# formation energy (no corrections): -13.9 eV per formula unit
# energy above the lowest structure with this stoichiometry: 0 meV per atom
# electronic total energy: -6.103 eV/atom
data_BaY2Se4
_chemical_formula_sum 'Ba4 Y8 Se16'
_space_group_name_H-M_alt 'P n m a'
_space_group_IT_number 62
_cell_length_a 12.8616
_cell_length_b 4.2188
_cell_length_c 15.2372
_cell_angle_alpha 90.00
_cell_angle_beta 90.00
_cell_angle_gamma 90.00
loop_
_space_group_symop_operation_xyz
'x,y,z'
'-x,-y,-z'
'-x+1/2,-y,z+1/2'
'x+1/2,y,-z+1/2'
'x+1/2,-y+1/2,-z+1/2'
'-x+1/2,y+1/2,z+1/2'
'-x,y+1/2,-z'
'x,-y+1/2,z'
loop_
_atom_site_label
_atom_site_fract_x
_atom_site_fract_y
_atom_site_fract_z
_atom_site_occupancy
Ba1 0.2404 0.2500 0.1649 1
Y1 0.0642 0.2500 0.3913 1
Y2 0.0793 0.2500 0.9004 1
Se1 0.0245 0.7500 0.7834 1
Se2 0.0851 0.2500 0.5770 1
Se3 0.1261 0.7500 0.0253 1
Se4 0.2061 0.7500 0.3369 1

***

# 9
# BaYSe PBE-GGA relaxed
# total magnetization: 8.45 μB/cell
# formation energy (no corrections): 0.6 eV per formula unit
# energy above the lowest structure with this stoichiometry: 1249 meV per atom
# electronic total energy: -3.753 eV/atom
data_BaYSe
_chemical_formula_sum 'Ba4 Y4 Se4'
_space_group_name_H-M_alt 'F -4 3 m'
_space_group_IT_number 216
_space_group_name_Hall 'F -4 2 3'
_cell_length_a 7.7698
_cell_length_b 7.7698
_cell_length_c 7.7698
_cell_angle_alpha 90.00
_cell_angle_beta 90.00
_cell_angle_gamma 90.00
loop_
_atom_site_label
_atom_site_fract_x
_atom_site_fract_y
_atom_site_fract_z
_atom_site_occupancy
Ba1 0.0000 0.0000 0.0000 1
Y1 0.2500 0.2500 0.7500 1
Se1 0.2500 0.2500 0.2500 1

***

# 10
# BaY2Se PBE-GGA relaxed
# total magnetization: 0.00 μB/cell
# formation energy (no corrections): -0.7 eV per formula unit
# electronic total energy: -4.751 eV/atom
data_BaY2Se
_chemical_formula_sum 'Ba1 Y2 Se1'
_space_group_name_H-M_alt 'P 4/m m m'
_space_group_IT_number 123
_space_group_name_Hall '-P 4 2'
_cell_length_a 5.4658
_cell_length_b 5.4658
_cell_length_c 3.9244
_cell_angle_alpha 90.00
_cell_angle_beta 90.00
_cell_angle_gamma 90.00
loop_
_atom_site_label
_atom_site_fract_x
_atom_site_fract_y
_atom_site_fract_z
_atom_site_occupancy
Ba1 0.0000 0.0000 0.0000 1
Y1 0.0000 0.5000 0.5000 1
Se1 0.5000 0.5000 0.0000 1

***

# 11
# BaYSe PBE-GGA relaxed
# total magnetization: 0.00 μB/cell
# formation energy (no corrections): -2.8 eV per formula unit
# energy above the lowest structure with this stoichiometry: 96 meV per atom
# electronic total energy: -4.906 eV/atom
data_BaYSe
_chemical_formula_sum 'Ba2 Y2 Se2'
_space_group_name_H-M_alt 'I 4 m m'
_space_group_IT_number 107
_space_group_name_Hall 'I 4 -2'
_cell_length_a 3.7787
_cell_length_b 3.7787
_cell_length_c 14.0160
_cell_angle_alpha 90.00
_cell_angle_beta 90.00
_cell_angle_gamma 90.00
loop_
_atom_site_label
_atom_site_fract_x
_atom_site_fract_y
_atom_site_fract_z
_atom_site_occupancy
Ba1 0.0000 0.0000 0.0000 1
Y1 0.0000 0.0000 0.2680 1
Se1 0.0000 0.0000 0.6668 1

***

# 12
# BaY2Se PBE-GGA relaxed
# total magnetization: 0.00 μB/cell
# formation energy (no corrections): -2.3 eV per formula unit
# electronic total energy: -5.168 eV/atom
data_BaY2Se
_chemical_formula_sum 'Ba2 Y4 Se2'
_space_group_name_H-M_alt 'C m m m'
_space_group_IT_number 65
_space_group_name_Hall '-C 2 2'
_cell_length_a 4.1686
_cell_length_b 6.2668
_cell_length_c 10.4137
_cell_angle_alpha 90.00
_cell_angle_beta 90.00
_cell_angle_gamma 90.00
loop_
_atom_site_label
_atom_site_fract_x
_atom_site_fract_y
_atom_site_fract_z
_atom_site_occupancy
Ba1 0.0000 0.0000 0.0000 1
Y1 0.0000 0.5000 0.3144 1
Se1 0.0000 0.0000 0.5000 1

***

# 13
# Ba2YSe PBE-GGA relaxed
# total magnetization: 0.00 μB/cell
# formation energy (no corrections): -2.7 eV per formula unit
# electronic total energy: -4.128 eV/atom
data_Ba2YSe
_chemical_formula_sum 'Ba2 Y1 Se1'
_space_group_name_H-M_alt 'P 1 m 1'
_space_group_IT_number 6
_cell_length_a 6.4532
_cell_length_b 4.1015
_cell_length_c 6.9610
_cell_angle_alpha 90.00
_cell_angle_beta 113.04
_cell_angle_gamma 90.00
loop_
_space_group_symop_operation_xyz
'x,y,z'
'x,-y,z'
loop_
_atom_site_label
_atom_site_fract_x
_atom_site_fract_y
_atom_site_fract_z
_atom_site_occupancy
Ba1 0.0000 0.0000 0.0000 1
Ba2 0.3213 0.5000 0.6167 1
Y1 0.6076 0.5000 0.2182 1
Se1 0.8847 0.0000 0.4721 1